Below is a geometry-optimized K2TlPd2 structure, with properties calculated at the PBE level.

Cell lengths 7.1095, 7.1095, 5.4113 Å; angles 90.00, 90.00, 90.00 degrees
Closest atoms and distances in Å follow each position.
Space group P4/mbm (No. 127)
Inequivalent atoms, fractional coordinates:
K: 0.1737 0.3263 0.0000  6 Pd 3.33-3.49, 5 K 3.49-3.72
Tl: 0.0000 0.0000 0.5000  4 Pd 2.77
Pd: 0.1336 0.6336 0.5000  1 Pd 2.69, 2 Tl 2.77

Values from the calculation:
distance to the lowest polymorph of the same formula	88.7	meV per atom
E_form	-0.07	eV per atom
M_tot	0.0	Bohr magnetons per cell
theoretical density	6.0	Mg/m³
DFT total energy	-3.064	eV per atom